(1)
Density functional theory data (PBE) for ScZn2Tc after structural relaxation.

Cell lengths 4.1823, 3.8837, 3.8837 Å; angles 90.00, 90.00, 90.00 degrees
Site moments in Bohr magnetons follow the coordinates.
Positions (direct):
Sc 0.5000 0.0000 0.0000  -0.01
Zn 0.0000 0.0000 0.5000  0.00
Zn 0.0000 0.5000 0.0000  0.00
Tc 0.5000 0.5000 0.5000  0.24

Distance to the lowest polymorph of the same formula = 74 meV per atom
Energy of formation = -0.165 eV per atom
SG = P4/mmm (123)

***

(2)
Density functional theory data (PBE) for CeLuAlTl after structural relaxation.

Cell lengths 5.2654, 5.2654, 5.2654 Å; angles 60.00, 60.00, 60.00 degrees
Site moments in Bohr magnetons follow the coordinates.
Positions (direct):
Tl 0.0000 0.0000 0.0000  -0.02
Lu 0.2500 0.2500 0.2500  -0.03
Al 0.5000 0.5000 0.5000  -0.01
Ce 0.7500 0.7500 0.7500  -0.76

Energy of formation = -0.250 eV per atom
SG = F-43m (216)

***

(3)
Density functional theory data (PBE) for TaCrNi2 after structural relaxation.

Cell lengths 2.6350, 2.6350, 7.3854 Å; angles 90.00, 90.00, 89.97 degrees
Positions (direct):
Cr 0.5000 0.5000 0.7500
Ni 0.0000 0.0000 0.9798
Ni 0.0000 0.0000 0.5202
Ta 0.5000 0.5000 0.2500

Distance to the lowest polymorph of the same formula = 118 meV per atom
Energy of formation = 0.017 eV per atom
SG = P4/mmm (123)

***

(4)
Density functional theory data (PBE) for NaCeCuAu after structural relaxation.

Cell lengths 5.0185, 5.0185, 5.0185 Å; angles 60.00, 60.00, 60.00 degrees
Site moments in Bohr magnetons follow the coordinates.
Positions (direct):
Na 0.5000 0.5000 0.5000  0.00
Au 0.7500 0.7500 0.7500  0.01
Cu 0.2500 0.2500 0.2500  0.00
Ce 0.0000 0.0000 0.0000  0.79

Energy of formation = -0.161 eV per atom
SG = F-43m (216)

***

(5)
Density functional theory data (PBE) for CaMgHg4 after structural relaxation.

Cell lengths 4.5391, 4.5391, 8.3263 Å; angles 90.00, 90.00, 90.00 degrees
Positions (direct):
Ca 0.0000 0.0000 0.0000
Mg 0.5000 0.5000 0.5000
Hg 0.5000 0.0000 0.7243
Hg 0.0000 0.5000 0.7243
Hg 0.5000 0.0000 0.2757
Hg 0.0000 0.5000 0.2757

Distance to the lowest polymorph of the same formula = 123 meV per atom
Energy of formation = -0.171 eV per atom
SG = P4/mmm (123)

***

(6)
Density functional theory data (PBE) for KSiAu3 after structural relaxation.

Cell lengths 4.9108, 4.9108, 10.2039 Å; angles 90.00, 90.00, 120.00 degrees
Positions (direct):
K 0.3333 0.6667 0.7500
K 0.6667 0.3333 0.2500
Au 0.0000 0.0000 0.2500
Au 0.0000 0.0000 0.7500
Au 0.3333 0.6667 0.0429
Au 0.3333 0.6667 0.4571
Au 0.6667 0.3333 0.5429
Au 0.6667 0.3333 0.9571
Si 0.0000 0.0000 0.0000
Si 0.0000 0.0000 0.5000

Uncorrected formation energy = 0.2 eV per formula unit
SG = P6_3/mmc (194)

***

(7)
Density functional theory data (PBE) for NdIn2Hg9 after structural relaxation.

Cell lengths 4.8317, 4.8317, 13.4273 Å; angles 90.00, 90.00, 90.00 degrees
Positions (direct):
Nd 0.0000 0.0000 0.0000
In 0.0000 0.0000 0.3322
In 0.0000 0.0000 0.6678
Hg 0.5000 0.5000 0.0000
Hg 0.5000 0.5000 0.3328
Hg 0.5000 0.5000 0.6672
Hg 0.5000 0.0000 0.1671
Hg 0.5000 0.0000 0.5000
Hg 0.5000 0.0000 0.8329
Hg 0.0000 0.5000 0.1671
Hg 0.0000 0.5000 0.5000
Hg 0.0000 0.5000 0.8329

Energy of formation = -0.113 eV per atom
SG = P4/mmm (123)

***

(8)
Density functional theory data (PBE) for Er2HgOs after structural relaxation.

Cell lengths 4.9717, 4.9717, 4.9717 Å; angles 60.00, 60.00, 60.00 degrees
Positions (direct):
Os 0.5000 0.5000 0.5000
Hg 0.0000 0.0000 0.0000
Er 0.2500 0.2500 0.2500
Er 0.7500 0.7500 0.7500

Distance to the lowest polymorph of the same formula = 127 meV per atom
Energy of formation = -0.294 eV per atom
SG = Fm-3m (225)

***

(9)
Density functional theory data (PBE) for SrCa2HgN after structural relaxation.

Cell lengths 4.9062, 4.9062, 5.3436 Å; angles 90.00, 90.00, 90.00 degrees
Positions (direct):
Sr 0.0000 0.0000 0.5000
Ca 0.0000 0.5000 0.0000
Ca 0.5000 0.0000 0.0000
Hg 0.5000 0.5000 0.5000
N 0.0000 0.0000 0.0000

Uncorrected formation energy = -3.0 eV per formula unit
SG = P4/mmm (123)

***

(10)
Density functional theory data (PBE) for KLi2TaO after structural relaxation.

Cell lengths 5.3924, 3.9272, 5.3924 Å; angles 90.00, 90.00, 90.00 degrees
Site moments in Bohr magnetons follow the coordinates.
Positions (direct):
K 0.5000 0.5000 0.5000  0.01
Li 0.0000 0.0000 0.5000  0.00
Li 0.5000 0.0000 0.0000  0.00
O 0.0000 0.0000 0.0000  -0.06
Ta 0.0000 0.5000 0.0000  1.04

Uncorrected formation energy = -0.8 eV per formula unit
SG = P4/mmm (123)

***

(11)
Density functional theory data (PBE) for LaPrTlSn after structural relaxation.

Cell lengths 5.5753, 5.5753, 5.5753 Å; angles 60.00, 60.00, 60.00 degrees
Positions (direct):
Pr 0.0000 0.0000 0.0000
Tl 0.7500 0.7500 0.7500
Sn 0.2500 0.2500 0.2500
La 0.5000 0.5000 0.5000

Distance to the lowest polymorph of the same formula = 6 meV per atom
Energy of formation = -0.541 eV per atom
SG = F-43m (216)

***

(12)
Density functional theory data (PBE) for Be2CoTcB after structural relaxation.

Cell lengths 2.9999, 3.1704, 5.2267 Å; angles 107.65, 106.68, 90.00 degrees
Site moments in Bohr magnetons follow the coordinates.
Positions (direct):
Be 0.7094 0.2094 0.4188  -0.01
Be 0.0412 0.0412 0.0824  -0.01
Co 0.1932 0.6932 0.3864  0.48
Tc 0.4293 0.4293 0.8585  0.35
B 0.8391 0.8391 0.6782  -0.02

Energy of formation = -0.348 eV per atom
SG = Imm2 (44)

***

(13)
Density functional theory data (PBE) for PdPt5 after structural relaxation.

Cell lengths 2.7971, 2.7971, 11.9605 Å; angles 90.00, 90.00, 90.00 degrees
Positions (direct):
Pd 0.5000 0.5000 0.5000
Pt 0.0000 0.0000 0.6660
Pt 0.5000 0.5000 0.8330
Pt 0.0000 0.0000 0.0000
Pt 0.5000 0.5000 0.1670
Pt 0.0000 0.0000 0.3340

Energy of formation = -0.025 eV per atom
SG = P4/mmm (123)

***

(14)
Density functional theory data (PBE) for V3Ru3W after structural relaxation.

Cell lengths 5.9558, 5.9558, 5.8037 Å; angles 90.00, 90.00, 95.30 degrees
Positions (direct):
V 0.2936 0.2936 0.5001
V 0.2611 0.7389 0.5000
V 0.7389 0.2611 0.5000
V 0.2288 0.7712 0.0000
V 0.7712 0.2288 0.0000
V 0.7064 0.7064 0.4999
Ru 0.0000 0.0000 0.7433
Ru 0.5000 0.0000 0.2523
Ru 0.0000 0.5000 0.2523
Ru 0.5000 0.0000 0.7477
Ru 0.0000 0.5000 0.7477
Ru 0.0000 0.0000 0.2567
W 0.3284 0.3284 0.0000
W 0.6716 0.6716 0.0000

Energy of formation = 0.044 eV per atom
SG = Cmmm (65)